The following is a DFT calculation (GGA-PBE) of a relaxed structure of NdScGe2.

a b c (Å): 4.5046 4.5046 16.0000
angles (deg): 90.00 90.00 120.00
Space group R-3m (No. 166, hexagonal axes)
Inequivalent atoms, fractional coordinates:
1 Nd 0.0000 0.0000 0.0000
2 Sc 0.0000 0.0000 0.5000
3 Ge 0.0000 0.0000 0.2336

Output
Calculated total energy (eV per atom): -5.7657